1.
DFT (PBE) results for TbTh2Ga3Pt4 after structural relaxation.

Formation energy (meV per atom): -946
Space group: P-4m2

Cell lengths 4.272, 4.272, 11.417 Å; angles 90.00, 90.00, 90.00 degrees
Positions (direct):
Tb: 0.500 0.500 0.500
Th: 0.500 0.000 0.223
Th: 0.000 0.500 0.777
Ga: 0.000 0.000 0.500
Ga: 0.500 0.000 0.878
Ga: 0.000 0.500 0.122
Pt: 0.500 0.500 0.000
Pt: 0.000 0.000 0.000
Pt: 0.500 0.000 0.660
Pt: 0.000 0.500 0.340

2.
DFT (PBE) results for TbThGa2Pt2 after structural relaxation.

Formation energy (meV per atom): -1039
Space group: P-3m1

Cell lengths 4.493, 4.493, 7.184 Å; angles 90.00, 90.00, 120.00 degrees
Positions (direct):
Tb: 0.000 0.000 0.500
Th: 0.000 0.000 0.000
Ga: 0.667 0.333 0.731
Ga: 0.333 0.667 0.269
Pt: 0.667 0.333 0.257
Pt: 0.333 0.667 0.743

3.
DFT (PBE) results for Tb2TiGa4Pt3 after structural relaxation.

Formation energy (meV per atom): -867
Space group: P-4m2

Cell lengths 4.061, 4.061, 11.468 Å; angles 90.00, 90.00, 90.00 degrees
Positions (direct):
Tb: 0.500 0.000 0.250
Tb: 0.000 0.500 0.750
Ti: 0.500 0.500 0.500
Ga: 0.500 0.500 0.000
Ga: 0.000 0.000 0.000
Ga: 0.500 0.000 0.645
Ga: 0.000 0.500 0.355
Pt: 0.000 0.000 0.500
Pt: 0.500 0.000 0.862
Pt: 0.000 0.500 0.138

4.
DFT (PBE) results for Tb2TiGa3Pt4 after structural relaxation.

Formation energy (meV per atom): -964
Space group: P-4m2

Cell lengths 4.094, 4.094, 11.213 Å; angles 90.00, 90.00, 90.00 degrees
Positions (direct):
Tb: 0.500 0.000 0.243
Tb: 0.000 0.500 0.757
Ti: 0.500 0.500 0.500
Ga: 0.000 0.000 0.500
Ga: 0.500 0.000 0.866
Ga: 0.000 0.500 0.134
Pt: 0.500 0.500 0.000
Pt: 0.000 0.000 0.000
Pt: 0.500 0.000 0.644
Pt: 0.000 0.500 0.356

5.
DFT (PBE) results for TbTmGa2Pt2 after structural relaxation.

Formation energy (meV per atom): -1081
Space group: P-3m1

Cell lengths 4.465, 4.465, 6.860 Å; angles 90.00, 90.00, 120.00 degrees
Positions (direct):
Tb: 0.000 0.000 0.000
Tm: 0.000 0.000 0.500
Ga: 0.667 0.333 0.739
Ga: 0.333 0.667 0.261
Pt: 0.667 0.333 0.263
Pt: 0.333 0.667 0.737

6.
DFT (PBE) results for TbY2Ga3Pt4 after structural relaxation.

Formation energy (meV per atom): -962
Space group: P-4m2

Cell lengths 4.178, 4.178, 11.553 Å; angles 90.00, 90.00, 90.00 degrees
Positions (direct):
Tb: 0.500 0.500 0.500
Y: 0.500 0.000 0.225
Y: 0.000 0.500 0.775
Ga: 0.000 0.000 0.500
Ga: 0.500 0.000 0.874
Ga: 0.000 0.500 0.126
Pt: 0.500 0.500 0.000
Pt: 0.000 0.000 0.000
Pt: 0.500 0.000 0.660
Pt: 0.000 0.500 0.340

no.,total moment (μB/f.u.),DFT total energy (eV/atom)
1,0.0,-6.217
2,0.0,-6.070
3,0.0,-5.605
4,0.0,-6.004
5,0.0,-5.621
6,0.0,-6.043